Record 1
DFT (GGA-PBE) results for Na3ScSi after structural relaxation.

Calculated values
* symmetry: No. 221
* relative energy among the computed polymorphs: 0 meV/atom
* total magnetic moment: 0.94 μB/cell
* total energy: -12.2 eV per cell
* formation energy (no corrections): 0.693 eV per atom

Cell lengths 5.470, 5.470, 5.470 Å; angles 90.00, 90.00, 90.00 degrees
Fractional positions:
Na 0.000 0.000 0.500
Na 0.000 0.500 0.000
Na 0.500 0.000 0.000
Sc 0.500 0.500 0.500
Si 0.000 0.000 0.000

---

Record 2
DFT (GGA-PBE) results for ZrU3Tl2O12 after structural relaxation.

Calculated values
* symmetry: No. 166
* total magnetic moment: 0.00 μB/cell
* total energy: -156.1 eV per cell
* formation energy (no corrections): -2.749 eV per atom

Cell lengths 7.801, 7.801, 7.801 Å; angles 61.83, 61.83, 61.83 degrees
Fractional positions:
Zr 0.000 0.000 0.000
U 0.000 0.000 0.500
U 0.000 0.500 0.000
U 0.500 0.000 0.000
Tl 0.328 0.328 0.328
Tl 0.672 0.672 0.672
O 0.050 0.687 0.687
O 0.062 0.062 0.684
O 0.062 0.684 0.062
O 0.313 0.313 0.950
O 0.313 0.950 0.313
O 0.316 0.938 0.938
O 0.684 0.062 0.062
O 0.687 0.050 0.687
O 0.687 0.687 0.050
O 0.938 0.316 0.938
O 0.938 0.938 0.316
O 0.950 0.313 0.313

---

Record 3
DFT (GGA-PBE) results for Sm3TmTl2 after structural relaxation.

Calculated values
* symmetry: No. 12
* relative energy among the computed polymorphs: 97 meV/atom
* total magnetic moment: 0.00 μB/cell
* total energy: -48.7 eV per cell
* ΔH_f (0 K): -16.2 kJ/mol of atoms

Cell lengths 8.497, 8.497, 10.252 Å; angles 117.26, 117.26, 34.38 degrees
Fractional positions:
Sm 0.041 0.041 0.360
Sm 0.290 0.290 0.622
Sm 0.367 0.367 0.332
Sm 0.633 0.633 0.668
Sm 0.710 0.710 0.378
Sm 0.959 0.959 0.640
Tm 0.118 0.118 0.070
Tm 0.882 0.882 0.930
Tl 0.241 0.241 0.897
Tl 0.487 0.487 0.138
Tl 0.513 0.513 0.862
Tl 0.759 0.759 0.103

---

Record 4
DFT (GGA-PBE) results for YTe2Ru after structural relaxation.

Calculated values
* symmetry: No. 10
* relative energy among the computed polymorphs: 195 meV/atom
* total magnetic moment: 0.35 μB/cell
* total energy: -23.3 eV per cell
* formation energy (no corrections): -0.320 eV per atom

Cell lengths 4.310, 4.020, 5.901 Å; angles 90.00, 104.32, 90.00 degrees
Fractional positions:
Y 0.000 0.000 0.000
Te 0.000 0.000 0.500
Te 0.500 0.500 0.000
Ru 0.500 0.500 0.500

---

Record 5
DFT (GGA-PBE) results for BaAlPt2 after structural relaxation.

Calculated values
* symmetry: No. 6
* total magnetic moment: 0.00 μB/cell
* total energy: -20.6 eV per cell
* ΔH_f (0 K): -67.9 kJ/mol of atoms

Cell lengths 4.738, 4.521, 5.009 Å; angles 90.00, 90.19, 90.00 degrees
Fractional positions:
Ba 0.000 0.000 0.000
Al 0.501 0.500 0.340
Pt 0.499 0.000 0.538
Pt 0.500 0.500 0.858

---

Record 6
DFT (GGA-PBE) results for Li2LaTmHg4 after structural relaxation.

Calculated values
* symmetry: No. 166
* total magnetic moment: 0.00 μB/cell
* total energy: -17.9 eV per cell
* ΔH_f (0 K): -42.2 kJ/mol of atoms

Cell lengths 8.920, 8.920, 8.920 Å; angles 33.12, 33.12, 33.12 degrees
Fractional positions:
Li 0.247 0.247 0.247
Li 0.753 0.753 0.753
La 0.000 0.000 0.000
Tm 0.500 0.500 0.500
Hg 0.129 0.129 0.129
Hg 0.381 0.381 0.381
Hg 0.619 0.619 0.619
Hg 0.871 0.871 0.871

---

Record 7
DFT (GGA-PBE) results for PrSmMg17 after structural relaxation.

Calculated values
* symmetry: No. 160
* total magnetic moment: 0.00 μB/cell
* total energy: -37.6 eV per cell
* ΔH_f (0 K): -5.1 kJ/mol of atoms

Cell lengths 7.813, 7.813, 7.813 Å; angles 82.27, 82.27, 82.27 degrees
Fractional positions:
Pr 0.000 0.000 0.000
Sm 0.660 0.660 0.660
Mg 0.029 0.331 0.631
Mg 0.029 0.631 0.331
Mg 0.172 0.683 0.683
Mg 0.232 0.232 0.232
Mg 0.330 0.330 0.831
Mg 0.330 0.831 0.330
Mg 0.331 0.029 0.631
Mg 0.331 0.631 0.029
Mg 0.430 0.430 0.430
Mg 0.491 0.977 0.977
Mg 0.631 0.029 0.331
Mg 0.631 0.331 0.029
Mg 0.683 0.172 0.683
Mg 0.683 0.683 0.172
Mg 0.831 0.330 0.330
Mg 0.977 0.491 0.977
Mg 0.977 0.977 0.491

---

Record 8
DFT (GGA-PBE) results for La2PO after structural relaxation.

Calculated values
* symmetry: No. 122
* relative energy among the computed polymorphs: 247 meV/atom
* total magnetic moment: 4.00 μB/cell
* total energy: -111.4 eV per cell
* formation energy (no corrections): -1.906 eV per atom

Cell lengths 6.104, 6.104, 11.945 Å; angles 90.00, 90.00, 90.00 degrees
Fractional positions:
La 0.195 0.250 0.125
La 0.250 0.695 0.375
La 0.250 0.805 0.875
La 0.305 0.250 0.625
La 0.695 0.750 0.625
La 0.750 0.195 0.875
La 0.750 0.305 0.375
La 0.805 0.750 0.125
P 0.000 0.000 0.500
P 0.000 0.500 0.750
P 0.500 0.000 0.250
P 0.500 0.500 0.000
O 0.000 0.000 0.000
O 0.000 0.500 0.250
O 0.500 0.000 0.750
O 0.500 0.500 0.500

---

Record 9
DFT (GGA-PBE) results for ZrHgMo2Ir after structural relaxation.

Calculated values
* symmetry: No. 123
* total magnetic moment: 0.00 μB/cell
* total energy: -34.5 eV per cell
* ΔH_f (0 K): 94.7 kJ/mol of atoms

Cell lengths 4.775, 4.775, 5.035 Å; angles 90.00, 90.00, 90.00 degrees
Fractional positions:
Zr 0.000 0.000 0.000
Hg 0.500 0.500 0.000
Mo 0.000 0.500 0.500
Mo 0.500 0.000 0.500
Ir 0.000 0.000 0.500

---

Record 10
DFT (GGA-PBE) results for Ta2MnCu after structural relaxation.

Calculated values
* symmetry: No. 216
* total magnetic moment: 0.00 μB/cell
* total energy: -143.4 eV per cell
* ΔH_f (0 K): 26.9 kJ/mol of atoms

Cell lengths 6.194, 6.194, 6.194 Å; angles 90.00, 90.00, 90.00 degrees
Fractional positions:
Ta 0.000 0.000 0.000
Ta 0.000 0.500 0.500
Ta 0.250 0.250 0.250
Ta 0.250 0.750 0.750
Ta 0.500 0.000 0.500
Ta 0.500 0.500 0.000
Ta 0.750 0.250 0.750
Ta 0.750 0.750 0.250
Mn 0.250 0.250 0.750
Mn 0.250 0.750 0.250
Mn 0.750 0.250 0.250
Mn 0.750 0.750 0.750
Cu 0.000 0.000 0.500
Cu 0.000 0.500 0.000
Cu 0.500 0.000 0.000
Cu 0.500 0.500 0.500

---

Record 11
DFT (GGA-PBE) results for Y3Ho4Ir4 after structural relaxation.

Calculated values
* symmetry: No. 71
* total magnetic moment: 0.00 μB/cell
* total energy: -80.7 eV per cell
* ΔH_f (0 K): -66.1 kJ/mol of atoms

Cell lengths 9.218, 9.218, 9.218 Å; angles 155.86, 124.21, 61.65 degrees
Fractional positions:
Y 0.000 0.000 0.000
Y 0.399 0.899 0.500
Y 0.601 0.101 0.500
Ho 0.024 0.333 0.691
Ho 0.358 0.667 0.691
Ho 0.642 0.333 0.309
Ho 0.976 0.667 0.309
Ir 0.246 0.246 0.000
Ir 0.288 0.500 0.788
Ir 0.712 0.500 0.212
Ir 0.754 0.754 0.000

---

Record 12
DFT (GGA-PBE) results for InP4N7 after structural relaxation.

Calculated values
* symmetry: No. 31
* total magnetic moment: 0.00 μB/cell
* total energy: -172.2 eV per cell
* formation energy (no corrections): -0.286 eV per atom

Cell lengths 12.323, 5.020, 4.709 Å; angles 90.00, 90.00, 90.00 degrees
Fractional positions:
In 0.000 0.184 0.000
In 0.500 0.816 0.500
P 0.119 0.673 0.485
P 0.248 0.822 0.958
P 0.252 0.178 0.458
P 0.381 0.327 0.985
P 0.619 0.327 0.985
P 0.748 0.178 0.458
P 0.752 0.822 0.958
P 0.881 0.673 0.485
N 0.000 0.745 0.374
N 0.135 0.755 0.813
N 0.151 0.370 0.413
N 0.213 0.880 0.309
N 0.287 0.120 0.809
N 0.349 0.630 0.913
N 0.365 0.245 0.313
N 0.500 0.255 0.874
N 0.635 0.245 0.313
N 0.651 0.630 0.913
N 0.713 0.120 0.809
N 0.787 0.880 0.309
N 0.849 0.370 0.413
N 0.865 0.755 0.813

---

Record 13
DFT (GGA-PBE) results for InNiBi2P after structural relaxation.

Calculated values
* symmetry: No. 123
* total magnetic moment: 0.00 μB/cell
* total energy: -20.6 eV per cell
* ΔH_f (0 K): 21.6 kJ/mol of atoms

Cell lengths 5.667, 5.667, 4.115 Å; angles 90.00, 90.00, 90.00 degrees
Fractional positions:
In 0.000 0.000 0.000
Ni 0.500 0.500 0.000
Bi 0.000 0.500 0.500
Bi 0.500 0.000 0.500
P 0.500 0.500 0.500

---

Record 14
DFT (GGA-PBE) results for TbSm4Co4 after structural relaxation.

Calculated values
* symmetry: No. 86
* total magnetic moment: 0.00 μB/cell
* total energy: -104.0 eV per cell
* ΔH_f (0 K): -0.6 kJ/mol of atoms

Cell lengths 8.486, 8.486, 5.718 Å; angles 90.00, 90.00, 90.00 degrees
Fractional positions:
Tb 0.250 0.250 0.250
Tb 0.750 0.750 0.750
Sm 0.057 0.676 0.130
Sm 0.176 0.943 0.630
Sm 0.324 0.557 0.630
Sm 0.443 0.824 0.130
Sm 0.557 0.176 0.870
Sm 0.676 0.443 0.370
Sm 0.824 0.057 0.370
Sm 0.943 0.324 0.870
Co 0.011 0.613 0.608
Co 0.113 0.989 0.108
Co 0.387 0.511 0.108
Co 0.489 0.887 0.608
Co 0.511 0.113 0.392
Co 0.613 0.489 0.892
Co 0.887 0.011 0.892
Co 0.989 0.387 0.392

---

Record 15
DFT (GGA-PBE) results for La3Zn2Ru3 after structural relaxation.

Calculated values
* symmetry: No. 62
* total magnetic moment: 0.00 μB/cell
* total energy: -187.1 eV per cell
* ΔH_f (0 K): -19.6 kJ/mol of atoms

Cell lengths 7.606, 15.618, 5.947 Å; angles 90.00, 90.00, 90.00 degrees
Fractional positions:
La 0.057 0.099 0.147
La 0.057 0.401 0.147
La 0.205 0.250 0.584
La 0.295 0.750 0.084
La 0.443 0.599 0.647
La 0.443 0.901 0.647
La 0.557 0.099 0.353
La 0.557 0.401 0.353
La 0.705 0.250 0.916
La 0.795 0.750 0.416
La 0.943 0.599 0.853
La 0.943 0.901 0.853
Zn 0.085 0.603 0.360
Zn 0.085 0.897 0.360
Zn 0.415 0.103 0.860
Zn 0.415 0.397 0.860
Zn 0.585 0.603 0.140
Zn 0.585 0.897 0.140
Zn 0.915 0.103 0.640
Zn 0.915 0.397 0.640
Ru 0.108 0.750 0.570
Ru 0.217 0.026 0.581
Ru 0.217 0.474 0.581
Ru 0.283 0.526 0.081
Ru 0.283 0.974 0.081
Ru 0.392 0.250 0.070
Ru 0.608 0.750 0.930
Ru 0.717 0.026 0.919
Ru 0.717 0.474 0.919
Ru 0.783 0.526 0.419
Ru 0.783 0.974 0.419
Ru 0.892 0.250 0.430

---

Record 16
DFT (GGA-PBE) results for Y2MgInCo after structural relaxation.

Calculated values
* symmetry: No. 123
* total magnetic moment: 0.00 μB/cell
* total energy: -25.0 eV per cell
* ΔH_f (0 K): -11.6 kJ/mol of atoms

Cell lengths 5.117, 5.117, 4.984 Å; angles 90.00, 90.00, 90.00 degrees
Fractional positions:
Y 0.000 0.500 0.000
Y 0.500 0.000 0.000
Mg 0.000 0.000 0.500
In 0.500 0.500 0.500
Co 0.500 0.500 0.000

---

Record 17
DFT (GGA-PBE) results for ZnGa2Cl6 after structural relaxation.

Calculated values
* symmetry: No. 15
* relative energy among the computed polymorphs: 0 meV/atom
* total magnetic moment: 0.00 μB/cell
* total energy: -55.6 eV per cell
* formation energy (no corrections): -1.046 eV per atom

Cell lengths 10.050, 10.050, 6.250 Å; angles 96.42, 96.42, 85.07 degrees
Fractional positions:
Zn 0.001 0.999 0.750
Zn 0.999 0.001 0.250
Ga 0.330 0.503 0.723
Ga 0.497 0.670 0.777
Ga 0.503 0.330 0.223
Ga 0.670 0.497 0.277
Cl 0.006 0.829 0.468
Cl 0.130 0.537 0.818
Cl 0.171 0.994 0.032
Cl 0.297 0.419 0.354
Cl 0.419 0.297 0.854
Cl 0.463 0.870 0.682
Cl 0.537 0.130 0.318
Cl 0.581 0.703 0.146
Cl 0.703 0.581 0.646
Cl 0.829 0.006 0.968
Cl 0.870 0.463 0.182
Cl 0.994 0.171 0.532

---

Record 18
DFT (GGA-PBE) results for Sr2SbH after structural relaxation.

Calculated values
* symmetry: No. 13
* relative energy among the computed polymorphs: 60 meV/atom
* total magnetic moment: 0.00 μB/cell
* total energy: -54.7 eV per cell

Cell lengths 6.632, 6.342, 15.085 Å; angles 90.00, 114.73, 90.00 degrees
Fractional positions:
Sr 0.123 0.195 0.120
Sr 0.123 0.805 0.620
Sr 0.340 0.252 0.903
Sr 0.340 0.748 0.403
Sr 0.660 0.252 0.597
Sr 0.660 0.748 0.097
Sr 0.877 0.195 0.380
Sr 0.877 0.805 0.880
Sb 0.360 0.248 0.362
Sb 0.360 0.752 0.862
Sb 0.640 0.248 0.138
Sb 0.640 0.752 0.638
H 0.000 0.187 0.569
H 0.000 0.187 0.931
H 0.000 0.813 0.069
H 0.000 0.813 0.431

---

Record 19
DFT (GGA-PBE) results for ReSiN3 after structural relaxation.

Calculated values
* symmetry: No. 221
* total magnetic moment: 0.00 μB/cell
* total energy: -38.4 eV per cell
* formation energy (no corrections): 0.898 eV per atom

Cell lengths 3.893, 3.893, 3.893 Å; angles 90.00, 90.00, 90.00 degrees
Fractional positions:
Re 0.000 0.000 0.000
Si 0.500 0.500 0.500
N 0.000 0.000 0.500
N 0.000 0.500 0.000
N 0.500 0.000 0.000

---

Record 20
DFT (GGA-PBE) results for PuGa8Pd4 after structural relaxation.

Calculated values
* symmetry: No. 139
* total magnetic moment: 5.76 μB/cell
* total energy: -65.5 eV per cell
* ΔH_f (0 K): -46.1 kJ/mol of atoms

Cell lengths 6.892, 6.892, 6.892 Å; angles 99.20, 99.20, 132.86 degrees
Fractional positions:
Pu 0.000 0.000 0.000
Ga 0.000 0.348 0.348
Ga 0.000 0.652 0.652
Ga 0.283 0.500 0.783
Ga 0.348 0.000 0.348
Ga 0.500 0.283 0.783
Ga 0.500 0.717 0.217
Ga 0.652 0.000 0.652
Ga 0.717 0.500 0.217
Pd 0.000 0.000 0.500
Pd 0.000 0.500 0.000
Pd 0.500 0.000 0.000
Pd 0.500 0.500 0.500